VASP calculation (PBE) on a geometry-optimized Ca2PrNbN4 structure.

The energy relative to the elements, uncorrected comes out at -1.06 eV/atom. The total DFT energy (no corrections) comes out at -7.581 eV/atom. The calculation puts the density of states at the Fermi level at 0.656 states/eV/f.u.

The space group is Imma (No. 74) and the conventional cell measures 6.7743, 6.9617 and 9.8176 Å, with angles of 90.00, 90.00 and 90.00 degrees. The asymmetric unit holds Ca at (0.0000, 0.0000, 0.0000), Ca at (0.2500, 0.2500, 0.2500), Pr at (0.0000, 0.0000, 0.5000), Nb at (0.2500, 0.2500, 0.7500), N at (0.0000, 0.0315, 0.7512) and N at (0.2494, 0.2500, 0.9676).

---

VASP calculation (PBE) on a geometry-optimized Re2Os structure.

The total DFT energy (no corrections) comes out at -11.576 eV/atom. As for the calculated formation energy: 135 kJ/mol of formula units. The calculation puts the excess energy over the best structure of this formula in the dataset at 541 meV per atom. The calculation puts the density of states at the Fermi level at 3.852 states/eV/f.u.

The space group is P4/mmm (No. 123) and the conventional cell measures 3.2616, 3.2616 and 8.4927 Å, with angles of 90.00, 90.00 and 90.00 degrees. The asymmetric unit holds Re at (0.0000, 0.0000, 0.0000), Re at (0.0000, 0.0000, 0.3315), Re at (0.5000, 0.5000, 0.5000) and Os at (0.5000, 0.5000, 0.1636).

---

VASP calculation (PBE) on a geometry-optimized Na2Pr2I2Br5 structure.

The energy relative to the elements, uncorrected comes out at -1.48 eV/atom. The total DFT energy (no corrections) comes out at -3.627 eV/atom. The calculation puts the density of states at the Fermi level at 4.139 states/eV/f.u.

The space group is I4/mmm (No. 139) and the conventional cell measures 5.9139, 5.9139 and 26.9577 Å, with angles of 90.00, 90.00 and 90.00 degrees. The asymmetric unit holds Na at (0.0000, 0.0000, 0.1633), Pr at (0.0000, 0.0000, 0.3911), I at (0.0000, 0.0000, 0.2774), Br at (0.0000, 0.0000, 0.5000) and Br at (0.0000, 0.5000, 0.1127).